This record from the Alexandria database describes ZrInMo2 after structural relaxation. The functional is PBE.

Cell lengths 3.5320, 3.5320, 6.0407 Å; angles 90.00, 90.00, 90.00 degrees
Sites, in units of the cell vectors:
Zr  0.0000  0.0000  0.0000
In  0.0000  0.0000  0.5000
Mo  0.5000  0.5000  0.2784
Mo  0.5000  0.5000  0.7216

Results
As for the total energy: -32.09 eV per cell. Its calculated formation energy is 0.2145 eV/atom.